(1)
TbSmDy2As4: relaxed, PBE.

Lattice parameters (Å, degrees): 4.150 7.183 7.183 70.54 90.00 90.00
Fractional coordinates of all 8 atoms:
As 0.000 0.754 0.746
Tb 0.000 0.500 0.500
As 0.500 0.247 0.749
Dy 0.500 0.000 0.500
Sm 0.500 0.500 0.000
As 0.000 0.246 0.254
Dy 0.000 0.000 0.000
As 0.500 0.753 0.251

Total magnetization (μB per formula unit): 0.00
Formation energy from the elements (eV per atom): -1.53
DOS(E_F) (states/eV per cell): 0.9
Uncorrected energy (eV for the cell shown): -49.4
Theoretical density (g/cm3): 7.682



(2)
AcHg2BiO6: relaxed, PBE.

Lattice parameters (Å, degrees): 5.931 5.931 6.538 63.03 63.03 60.00
Fractional coordinates of all 10 atoms:
Hg 0.039 0.039 0.883
O 0.673 0.074 0.833
O 0.421 0.673 0.833
Hg 0.593 0.593 0.220
O 0.074 0.420 0.833
Bi 0.316 0.316 0.052
O 0.212 0.960 0.270
O 0.558 0.212 0.270
O 0.960 0.558 0.270
Ac 0.816 0.816 0.552

Total magnetization (μB per formula unit): 0.00
Formation energy from raw total energies (kJ/mol of formula units): -1218
Uncorrected energy (eV for the cell shown): -51.0
Theoretical density (g/cm3): 9.134